RhSeBr: relaxed, GGA-PBE.

Total magnetic moment in Bohr magnetons per cell: 0.0
Calculated density in g cm⁻³: 6.7
D(E_F) in states/eV/cell: 0.95
Crystal system: tetragonal
Energy relative to the elements, uncorrected in eV/atom: 0.040

Geometry as CIF:
```
data_RhSeBr
_space_group_name_H-M_alt 'P 1'
_space_group_IT_number 1
_cell_length_a 6.896
_cell_length_b 6.896
_cell_length_c 6.896
_cell_angle_alpha 153.62
_cell_angle_beta 153.62
_cell_angle_gamma 37.65
loop_
_space_group_symop_operation_xyz
'x,y,z'
loop_
_atom_site_label
_atom_site_type_symbol
_atom_site_fract_x
_atom_site_fract_y
_atom_site_fract_z
Rh1 Rh 0.000 0.000 0.000
Se1 Se 0.403 0.403 0.000
Br1 Br 0.652 0.652 0.000
```



Rh2SeBr: relaxed, GGA-PBE.

Total magnetic moment in Bohr magnetons per cell: 0.0
Calculated density in g cm⁻³: 9.2
D(E_F) in states/eV/cell: 5.76
Crystal system: tetragonal
Energy relative to the elements, uncorrected in eV/atom: 0.359

Geometry as CIF:
```
data_Rh2SeBr
_space_group_name_H-M_alt 'P 1'
_space_group_IT_number 1
_cell_length_a 4.543
_cell_length_b 4.543
_cell_length_c 3.199
_cell_angle_alpha 90.00
_cell_angle_beta 90.00
_cell_angle_gamma 90.00
loop_
_space_group_symop_operation_xyz
'x,y,z'
loop_
_atom_site_label
_atom_site_type_symbol
_atom_site_fract_x
_atom_site_fract_y
_atom_site_fract_z
Rh1 Rh 0.000 0.500 0.000
Rh2 Rh 0.500 0.000 0.000
Se1 Se 0.000 0.000 0.500
Br1 Br 0.500 0.500 0.500
```



Rh2SeBr: relaxed, GGA-PBE.

Total magnetic moment in Bohr magnetons per cell: 0.0
Calculated density in g cm⁻³: 8.7
D(E_F) in states/eV/cell: 5.52
Crystal system: cubic
Energy relative to the elements, uncorrected in eV/atom: 0.746

Geometry as CIF:
```
data_Rh2SeBr
_space_group_name_H-M_alt 'P 1'
_space_group_IT_number 1
_cell_length_a 4.612
_cell_length_b 4.612
_cell_length_c 4.612
_cell_angle_alpha 60.00
_cell_angle_beta 60.00
_cell_angle_gamma 60.00
loop_
_space_group_symop_operation_xyz
'x,y,z'
loop_
_atom_site_label
_atom_site_type_symbol
_atom_site_fract_x
_atom_site_fract_y
_atom_site_fract_z
Rh1 Rh 0.000 0.000 0.000
Rh2 Rh 0.250 0.250 0.250
Se1 Se 0.500 0.500 0.500
Br1 Br 0.750 0.750 0.750
```



Rh2SeBr: relaxed, GGA-PBE.

Total magnetic moment in Bohr magnetons per cell: 0.0
Calculated density in g cm⁻³: 6.8
D(E_F) in states/eV/cell: 8.82
Crystal system: tetragonal
Energy relative to the elements, uncorrected in eV/atom: 0.154

Geometry as CIF:
```
data_Rh2SeBr
_space_group_name_H-M_alt 'P 1'
_space_group_IT_number 1
_cell_length_a 6.374
_cell_length_b 6.374
_cell_length_c 6.374
_cell_angle_alpha 122.09
_cell_angle_beta 122.09
_cell_angle_gamma 86.42
loop_
_space_group_symop_operation_xyz
'x,y,z'
loop_
_atom_site_label
_atom_site_type_symbol
_atom_site_fract_x
_atom_site_fract_y
_atom_site_fract_z
Rh1 Rh 0.092 0.625 0.967
Rh2 Rh 0.375 0.342 0.467
Rh3 Rh 0.658 0.125 0.033
Rh4 Rh 0.875 0.908 0.533
Se1 Se 0.000 0.000 0.000
Se2 Se 0.750 0.250 0.500
Br1 Br 0.250 0.750 0.500
Br2 Br 0.500 0.500 0.000
```



RhSeBr3: relaxed, GGA-PBE.

Total magnetic moment in Bohr magnetons per cell: 1.8
Calculated density in g cm⁻³: 4.6
D(E_F) in states/eV/cell: 13.14
Crystal system: cubic
Energy relative to the elements, uncorrected in eV/atom: 0.750

Geometry as CIF:
```
data_RhSeBr3
_space_group_name_H-M_alt 'P 1'
_space_group_IT_number 1
_cell_length_a 5.341
_cell_length_b 5.341
_cell_length_c 5.341
_cell_angle_alpha 90.00
_cell_angle_beta 90.00
_cell_angle_gamma 90.00
loop_
_space_group_symop_operation_xyz
'x,y,z'
loop_
_atom_site_label
_atom_site_type_symbol
_atom_site_fract_x
_atom_site_fract_y
_atom_site_fract_z
Rh1 Rh 0.000 0.000 0.000
Se1 Se 0.500 0.500 0.500
Br1 Br 0.000 0.500 0.500
Br2 Br 0.500 0.000 0.500
Br3 Br 0.500 0.500 0.000
```



RhSeBr: relaxed, GGA-PBE.

Total magnetic moment in Bohr magnetons per cell: 0.0
Calculated density in g cm⁻³: 5.4
D(E_F) in states/eV/cell: 2.51
Crystal system: orthorhombic
Energy relative to the elements, uncorrected in eV/atom: 0.025

Geometry as CIF:
```
data_RhSeBr
_space_group_name_H-M_alt 'P 1'
_space_group_IT_number 1
_cell_length_a 7.465
_cell_length_b 6.908
_cell_length_c 3.803
_cell_angle_alpha 82.95
_cell_angle_beta 66.68
_cell_angle_gamma 30.37
loop_
_space_group_symop_operation_xyz
'x,y,z'
loop_
_atom_site_label
_atom_site_type_symbol
_atom_site_fract_x
_atom_site_fract_y
_atom_site_fract_z
Rh1 Rh 0.000 0.000 0.000
Se1 Se 0.611 0.611 0.389
Br1 Br 0.363 0.363 0.637
```



Rh2SeBr: relaxed, GGA-PBE.

Total magnetic moment in Bohr magnetons per cell: 0.0
Calculated density in g cm⁻³: 7.9
D(E_F) in states/eV/cell: 6.12
Crystal system: orthorhombic
Energy relative to the elements, uncorrected in eV/atom: 0.406

Geometry as CIF:
```
data_Rh2SeBr
_space_group_name_H-M_alt 'P 1'
_space_group_IT_number 1
_cell_length_a 3.033
_cell_length_b 3.033
_cell_length_c 9.849
_cell_angle_alpha 90.00
_cell_angle_beta 90.00
_cell_angle_gamma 121.94
loop_
_space_group_symop_operation_xyz
'x,y,z'
loop_
_atom_site_label
_atom_site_type_symbol
_atom_site_fract_x
_atom_site_fract_y
_atom_site_fract_z
Rh1 Rh 0.000 0.000 0.000
Rh2 Rh 0.500 0.500 0.229
Se1 Se 0.500 0.500 0.800
Br1 Br 0.000 0.000 0.442
```



Rh2Se4Br: relaxed, GGA-PBE.

Total magnetic moment in Bohr magnetons per cell: 0.0
Calculated density in g cm⁻³: 5.4
D(E_F) in states/eV/cell: 6.08
Crystal system: tetragonal
Energy relative to the elements, uncorrected in eV/atom: 0.500

Geometry as CIF:
```
data_Rh2Se4Br
_space_group_name_H-M_alt 'P 1'
_space_group_IT_number 1
_cell_length_a 8.278
_cell_length_b 8.278
_cell_length_c 8.278
_cell_angle_alpha 144.97
_cell_angle_beta 144.97
_cell_angle_gamma 50.37
loop_
_space_group_symop_operation_xyz
'x,y,z'
loop_
_atom_site_label
_atom_site_type_symbol
_atom_site_fract_x
_atom_site_fract_y
_atom_site_fract_z
Rh1 Rh 0.084 0.084 0.000
Rh2 Rh 0.916 0.916 0.000
Se1 Se 0.000 0.500 0.500
Se2 Se 0.237 0.237 0.000
Se3 Se 0.500 0.000 0.500
Se4 Se 0.763 0.763 0.000
Br1 Br 0.500 0.500 0.000
```



Rh2SeBr: relaxed, GGA-PBE.

Total magnetic moment in Bohr magnetons per cell: 0.0
Calculated density in g cm⁻³: 6.8
D(E_F) in states/eV/cell: 1.14
Crystal system: trigonal
Energy relative to the elements, uncorrected in eV/atom: -0.038

Geometry as CIF:
```
data_Rh2SeBr
_space_group_name_H-M_alt 'P 1'
_space_group_IT_number 1
_cell_length_a 7.165
_cell_length_b 7.165
_cell_length_c 7.165
_cell_angle_alpha 31.38
_cell_angle_beta 31.38
_cell_angle_gamma 31.38
loop_
_space_group_symop_operation_xyz
'x,y,z'
loop_
_atom_site_label
_atom_site_type_symbol
_atom_site_fract_x
_atom_site_fract_y
_atom_site_fract_z
Rh1 Rh 0.000 0.000 0.000
Rh2 Rh 0.253 0.253 0.253
Se1 Se 0.700 0.700 0.700
Br1 Br 0.529 0.529 0.529
```



RhSeBr: relaxed, GGA-PBE.

Total magnetic moment in Bohr magnetons per cell: 0.0
Calculated density in g cm⁻³: 7.0
D(E_F) in states/eV/cell: 2.35
Crystal system: cubic
Energy relative to the elements, uncorrected in eV/atom: 0.141

Geometry as CIF:
```
data_RhSeBr
_space_group_name_H-M_alt 'P 1'
_space_group_IT_number 1
_cell_length_a 4.450
_cell_length_b 4.450
_cell_length_c 4.450
_cell_angle_alpha 60.00
_cell_angle_beta 60.00
_cell_angle_gamma 60.00
loop_
_space_group_symop_operation_xyz
'x,y,z'
loop_
_atom_site_label
_atom_site_type_symbol
_atom_site_fract_x
_atom_site_fract_y
_atom_site_fract_z
Rh1 Rh 0.000 0.000 0.000
Se1 Se 0.250 0.250 0.250
Br1 Br 0.750 0.750 0.750
```



Rh2SeBr: relaxed, GGA-PBE.

Total magnetic moment in Bohr magnetons per cell: 0.0
Calculated density in g cm⁻³: 8.3
D(E_F) in states/eV/cell: 7.48
Crystal system: orthorhombic
Energy relative to the elements, uncorrected in eV/atom: 0.512

Geometry as CIF:
```
data_Rh2SeBr
_space_group_name_H-M_alt 'P 1'
_space_group_IT_number 1
_cell_length_a 3.061
_cell_length_b 4.138
_cell_length_c 5.732
_cell_angle_alpha 90.00
_cell_angle_beta 90.00
_cell_angle_gamma 90.00
loop_
_space_group_symop_operation_xyz
'x,y,z'
loop_
_atom_site_label
_atom_site_type_symbol
_atom_site_fract_x
_atom_site_fract_y
_atom_site_fract_z
Rh1 Rh 0.000 0.000 0.000
Rh2 Rh 0.500 0.000 0.500
Se1 Se 0.000 0.500 0.500
Br1 Br 0.500 0.500 0.000
```



RhSeBr: relaxed, GGA-PBE.

Total magnetic moment in Bohr magnetons per cell: 0.0
Calculated density in g cm⁻³: 6.9
D(E_F) in states/eV/cell: 1.92
Crystal system: tetragonal
Energy relative to the elements, uncorrected in eV/atom: 0.159

Geometry as CIF:
```
data_RhSeBr
_space_group_name_H-M_alt 'P 1'
_space_group_IT_number 1
_cell_length_a 5.645
_cell_length_b 5.645
_cell_length_c 5.645
_cell_angle_alpha 143.56
_cell_angle_beta 143.56
_cell_angle_gamma 52.48
loop_
_space_group_symop_operation_xyz
'x,y,z'
loop_
_atom_site_label
_atom_site_type_symbol
_atom_site_fract_x
_atom_site_fract_y
_atom_site_fract_z
Rh1 Rh 0.000 0.000 0.000
Se1 Se 0.440 0.440 0.000
Br1 Br 0.744 0.744 0.000
```